RbAgRu2O8 | PBE | optimized geometry

Cell lengths 8.9025, 6.2533, 8.3547 Å; angles 90.00, 97.84, 90.00 degrees
Space group C2/m (No. 12)
Symmetry-distinct sites (fractional):
Rb: 0.0000 0.0000 0.0000 x2
Ag: 0.0000 0.0000 0.5000 x2
Ru: 0.1081 0.5000 0.2854 x4
O: 0.0006 0.2652 0.7064 x8
O: 0.1910 0.5000 0.1067 x4
O: 0.2466 0.5000 0.4581 x4

Calculated values
Crystal system: monoclinic
Uncorrected formation energy (kJ per mole of atoms): -80.4
Total magnetic moment (μB/f.u.): 2.00

=====

Rb2AgRuO4 | PBE | optimized geometry

Cell lengths 6.0481, 12.4301, 20.1368 Å; angles 90.00, 90.00, 90.00 degrees
Space group Fddd (No. 70, origin choice 2)
Symmetry-distinct sites (fractional):
Rb: 0.1250 0.1250 0.3049 x16
Ag: 0.1250 0.1250 0.1250 x8
Ru: 0.1250 0.1250 0.6250 x8
O: 0.0665 0.2827 0.8321 x32

Calculated values
Crystal system: orthorhombic
Uncorrected formation energy (kJ per mole of atoms): -79.0
Total magnetic moment (μB/f.u.): 1.02

=====

Rb3AgRu2O8 | PBE | optimized geometry

Cell lengths 6.1687, 6.1687, 8.0866 Å; angles 90.00, 90.00, 120.00 degrees
Space group P-3m1 (No. 164)
Symmetry-distinct sites (fractional):
Rb: 0.0000 0.0000 0.0000 x1
Rb: 0.3333 0.6667 0.6580 x2
Ag: 0.0000 0.0000 0.5000 x1
Ru: 0.3333 0.6667 0.2201 x2
O: 0.1763 0.3526 0.3064 x6
O: 0.3333 0.6667 0.0013 x2

Calculated values
Crystal system: trigonal
Uncorrected formation energy (kJ per mole of atoms): -104.8
Total magnetic moment (μB/f.u.): 4.00

=====

> Which formula does entry 2 have?

Rb2AgRuO4